The following is a DFT calculation (PBE-GGA) of a geometry-optimized Ti3RhW structure.

Values from the calculation:
Total magnetization (μB per formula unit): 0.0
ΔE to the lowest computed polymorph (eV/atom): 0.166
Final energy (eV/atom): -7.79
N(E_F) (states/eV/cell): 8.23

```
Ti3RhW
1.0
4.6907 0.0000 0.0000
0.0000 4.6907 0.0000
0.0000 0.0000 4.6907
Ti Rh W
3 1 1
Cartesian
0.0000 0.0000 2.3453
0.0000 2.3453 0.0000
2.3453 0.0000 0.0000
2.3453 2.3453 2.3453
0.0000 0.0000 0.0000
```

=====

The following is a DFT calculation (PBE-GGA) of a geometry-optimized DyTcSn6 structure.

Values from the calculation:
Total magnetization (μB per formula unit): 0.0
Final energy (eV/atom): -4.98
N(E_F) (states/eV/cell): 3.02

```
DyTcSn6
1.0
4.7154 2.7224 2.7483
-4.7154 2.7224 2.7483
0.0000 -5.4448 2.7483
Dy Tc Sn
1 1 6
Cartesian
0.0000 0.0000 0.0000
0.0000 0.0000 4.1224
0.0000 -2.2972 2.7988
-1.9894 1.1486 2.7988
-1.9894 -1.1486 5.4460
1.9894 1.1486 2.7988
1.9894 -1.1486 5.4460
0.0000 2.2972 5.4460
```

=====

The following is a DFT calculation (PBE-GGA) of a geometry-optimized Pm4Pr5In structure.

Values from the calculation:
Total magnetization (μB per formula unit): 0.0
ΔE to the lowest computed polymorph (eV/atom): 0.107
Final energy (eV/atom): -4.46
N(E_F) (states/eV/cell): 13.63

```
Pm4Pr5In
1.0
-5.3692 5.3692 3.0780
5.3692 -5.3692 3.0780
5.3692 5.3692 -3.0780
Pm Pr In
4 5 1
Cartesian
3.3625 0.0000 0.0000
7.3760 0.0000 0.0000
0.0000 3.3625 0.0000
0.0000 7.3760 0.0000
3.3521 3.3521 0.0344
2.0171 -2.0171 3.1124
-2.0171 2.0171 3.1124
2.0171 2.0171 3.1124
0.0000 0.0000 4.8485
0.0000 0.0000 1.6373
```